No. 1
Be2CoSb after structural relaxation. Source: Alexandria, functional PBE.

Cell and atoms, written as POSCAR:
```
Be2CoSb
1.0
-0.0352 -1.0421 -4.3708
-3.7755 -2.2163 -1.0120
0.7313 3.8675 2.1676
Sb Co Be
1 1 2
Cartesian
-2.4747 0.0110 -0.7678
-1.9051 -1.6290 -2.6911
-3.8106 -3.2583 -5.3826
-0.6050 0.5978 -2.4478
```

Properties
- SG = I-4m2, No. 119
- Fermi-level density of states (states/eV/atom) = 0.430
- raw formation energy (eV per formula unit) = 0.92

No. 2
BeCoSb2 after structural relaxation. Source: Alexandria, functional PBE.

Cell and atoms, written as POSCAR:
```
BeCoSb2
1.0
-1.4300 -4.4996 -0.6872
2.8019 -1.9935 3.3075
-3.3599 3.3655 0.3847
Sb Co Be
2 1 1
Cartesian
1.3638 -6.4550 2.6049
0.6940 -3.2847 1.3255
0.0639 -0.9373 2.5011
-2.0520 -2.1903 0.5038
```

Properties
- SG = Immm, No. 71
- Fermi-level density of states (states/eV/atom) = 0.517
- raw formation energy (eV per formula unit) = 2.03

No. 3
BeCoSb after structural relaxation. Source: Alexandria, functional PBE.

Cell and atoms, written as POSCAR:
```
BeCoSb
1.0
-1.4712 -2.6534 -0.2775
2.4028 0.6022 -1.7736
3.4171 -2.2972 3.8493
Sb Co Be
1 1 1
Cartesian
3.3268 -1.9723 1.2207
0.8645 -2.2703 0.4003
0.1573 -0.1057 0.1772
```

Properties
- SG = P3m1, No. 156
- Fermi-level density of states (states/eV/atom) = 0.643
- distance to the lowest polymorph of the same formula (eV per atom) = 0.4196
- raw formation energy (eV per formula unit) = 1.32

no.,total magnetization (μB per formula unit),calculated density (g cm⁻³),calculated volume (Å³/cell)
1,0.00,6.7,49.01
2,0.00,7.4,69.99
3,0.46,7.0,45.31